Material: MgTa2
Method: DFT, PBE-GGA
State: optimized geometry

Cell: 8.517 8.517 2.683 Å, 90.00 90.00 120.00°
Element x y z (fractional)
Ta1 0.324 0.000 0.000
Ta2 0.000 0.324 0.000
Ta3 0.676 0.676 0.000
Ta4 0.658 0.000 0.500
Ta5 0.342 0.342 0.500
Ta6 0.000 0.658 0.500
Mg1 0.667 0.333 0.000
Mg2 0.333 0.667 0.000
Mg3 0.000 0.000 0.500

Summary:
space group = P-62m
ΔE to the lowest computed polymorph = 35.2 meV per atom
E = -8.144 eV per atom
DOS at the Fermi energy = 0.67 states/eV/atom